An optimized crystal structure of Dy3Te2C2. Source: Alexandria, functional PBE-GGA.

It has space group P2_1/c (No. 14), with a = 6.373 Å, b = 7.510 Å, c = 7.623 Å, α = 90.00°, β = 114.14° and γ = 90.00°. The inequivalent atoms are Dy at (0.000, 0.000, 0.000), Dy at (0.400, 0.129, 0.768), Te at (0.186, 0.641, 0.915) and C at (0.349, 0.112, 0.065).

Its uncorrected formation energy is -364 meV per atom. The value obtained for the volume is 332.9 Å³/cell.

An optimized crystal structure of TlIn8Sn2. Source: Alexandria, functional PBE-GGA.

It has space group C2/m (No. 12), with a = 14.914 Å, b = 9.362 Å, c = 4.992 Å, α = 90.00°, β = 101.43° and γ = 90.00°. The inequivalent atoms are Tl at (0.000, 0.000, 0.000), In at (0.080, 0.276, 0.759), In at (0.095, 0.500, 0.268), In at (0.234, 0.500, 0.865) and Sn at (0.156, 0.000, 0.573).

The value obtained for the volume is 683.2 Å³/cell. The calculation puts the total energy at -2.817 eV per atom.